[1]
# NiSb2TeAu (GGA-PBE, optimized geometry)
# volume = 31.139 Å³ per atom
# magnetization = 0.5 μB per formula unit
# space group = P4/mmm
data_NiSb2TeAu
_space_group_name_H-M_alt 'P 1'
_space_group_IT_number 1
_cell_length_a 5.3379
_cell_length_b 5.3379
_cell_length_c 5.4643
_cell_angle_alpha 90.00
_cell_angle_beta 90.00
_cell_angle_gamma 90.00
loop_
_space_group_symop_operation_xyz
'x,y,z'
loop_
_atom_site_label
_atom_site_type_symbol
_atom_site_fract_x
_atom_site_fract_y
_atom_site_fract_z
_atom_site_occupancy
Sb1 Sb 0.0000 0.5000 0.0000 1
Sb2 Sb 0.5000 0.0000 0.0000 1
Te1 Te 0.0000 0.0000 0.5000 1
Au1 Au 0.0000 0.0000 0.0000 1
Ni1 Ni 0.5000 0.5000 0.5000 1

=====

[2]
# NiSbTe2Au (GGA-PBE, optimized geometry)
# volume = 25.426 Å³ per atom
# magnetization = 0.0 μB per formula unit
# space group = P4/mmm
data_NiSbTe2Au
_space_group_name_H-M_alt 'P 1'
_space_group_IT_number 1
_cell_length_a 5.1080
_cell_length_b 5.1080
_cell_length_c 4.8726
_cell_angle_alpha 90.00
_cell_angle_beta 90.00
_cell_angle_gamma 90.00
loop_
_space_group_symop_operation_xyz
'x,y,z'
loop_
_atom_site_label
_atom_site_type_symbol
_atom_site_fract_x
_atom_site_fract_y
_atom_site_fract_z
_atom_site_occupancy
Sb1 Sb 0.0000 0.0000 0.5000 1
Te1 Te 0.0000 0.5000 0.0000 1
Te2 Te 0.5000 0.0000 0.0000 1
Au1 Au 0.5000 0.5000 0.5000 1
Ni1 Ni 0.0000 0.0000 0.0000 1

=====

[3]
# NiSb2TeAu (GGA-PBE, optimized geometry)
# volume = 25.032 Å³ per atom
# magnetization = 0.0 μB per formula unit
# space group = P4/mmm
data_NiSb2TeAu
_space_group_name_H-M_alt 'P 1'
_space_group_IT_number 1
_cell_length_a 4.9436
_cell_length_b 4.9436
_cell_length_c 5.1212
_cell_angle_alpha 90.00
_cell_angle_beta 90.00
_cell_angle_gamma 90.00
loop_
_space_group_symop_operation_xyz
'x,y,z'
loop_
_atom_site_label
_atom_site_type_symbol
_atom_site_fract_x
_atom_site_fract_y
_atom_site_fract_z
_atom_site_occupancy
Sb1 Sb 0.0000 0.5000 0.0000 1
Sb2 Sb 0.5000 0.0000 0.0000 1
Te1 Te 0.0000 0.0000 0.5000 1
Au1 Au 0.5000 0.5000 0.5000 1
Ni1 Ni 0.0000 0.0000 0.0000 1

=====

Number 1: energy -3.04 eV/atom, formation energy from raw total energies 1.05 eV per atom. Number 2: energy -3.46 eV/atom, formation energy from raw total energies 0.43 eV per atom. Number 3: energy -3.70 eV/atom, formation energy from raw total energies 0.39 eV per atom.